1.
Computed, not measured: a relaxed structure of TmP2 at the PBE-GGA level of DFT.

POSCAR file:
```
TmP2
1.0
10.265 0.000 0.000
0.000 5.241 0.000
0.000 0.000 4.826
Tm P
4 8
direct
0.158 0.026 0.000 Tm
0.342 0.526 0.500 Tm
0.658 0.474 0.000 Tm
0.842 0.974 0.500 Tm
0.074 0.262 0.500 P
0.131 0.510 0.162 P
0.369 0.010 0.662 P
0.426 0.762 0.000 P
0.574 0.238 0.500 P
0.631 0.990 0.162 P
0.869 0.490 0.662 P
0.926 0.738 0.000 P
```

Symmetry   Pna2_1, No. 33

***

2.
Computed, not measured: a relaxed structure of FeHgAsW at the PBE-GGA level of DFT.

POSCAR file:
```
FeHgAsW
1.0
0.000 3.244 3.244
3.244 0.000 3.244
3.244 3.244 0.000
Fe Hg As W
1 1 1 1
direct
0.000 0.000 0.000 Fe
0.500 0.500 0.500 Hg
0.750 0.750 0.750 As
0.250 0.250 0.250 W
```

Symmetry   F-43m, No. 216

***

3.
Computed, not measured: a relaxed structure of Lu2HgAu at the PBE-GGA level of DFT.

POSCAR file:
```
Lu2HgAu
1.0
0.000 3.529 3.529
3.529 0.000 3.529
3.529 3.529 0.000
Lu Hg Au
2 1 1
direct
0.000 0.000 0.000 Lu
0.250 0.250 0.250 Lu
0.500 0.500 0.500 Hg
0.750 0.750 0.750 Au
```

DFT formation energy   -0.96 eV/f.u.
Symmetry   F-43m, No. 216

***

Number 1: VASP energy -5.72 eV/atom. Number 2: VASP energy -5.55 eV/atom. Number 3: VASP energy -3.39 eV/atom.